No. 1
# PuSi3Pt5

A geometry-optimized PuSi3Pt5 structure (PBE, Alexandria).

CIF file:
```
data_PuSi3Pt5
_space_group_name_H-M_alt 'C m c m'
_space_group_IT_number 63
_space_group_name_Hall '-C 2c 2'
_cell_length_a 3.9049
_cell_length_b 12.5740
_cell_length_c 12.7491
_cell_angle_alpha 90.00
_cell_angle_beta 90.00
_cell_angle_gamma 90.00
loop_
_atom_site_label
_atom_site_type_symbol
_atom_site_fract_x
_atom_site_fract_y
_atom_site_fract_z
Pu1 Pu 0.0000 0.1467 0.2500
Si1 Si 0.0000 0.1194 0.7500
Si2 Si 0.0000 0.3853 0.5413
Pt1 Pt 0.0000 0.0000 0.0000
Pt2 Pt 0.0000 0.2085 0.5803
Pt3 Pt 0.0000 0.4510 0.1458
```

Results
Its electronic total energy is -7.49 eV/atom. The energy relative to the elements, uncorrected comes out at -0.7345 eV per atom.

=====

No. 2
# PuSi3Pt2

A geometry-optimized PuSi3Pt2 structure (PBE, Alexandria).

CIF file:
```
data_PuSi3Pt2
_space_group_name_H-M_alt 'I m m m'
_space_group_IT_number 71
_space_group_name_Hall '-I 2 2'
_cell_length_a 4.3469
_cell_length_b 6.9630
_cell_length_c 13.5400
_cell_angle_alpha 90.00
_cell_angle_beta 90.00
_cell_angle_gamma 90.00
loop_
_atom_site_label
_atom_site_type_symbol
_atom_site_fract_x
_atom_site_fract_y
_atom_site_fract_z
Pu1 Pu 0.0000 0.0000 0.1379
Si1 Si 0.0000 0.2024 0.3287
Si2 Si 0.0000 0.3393 0.0000
Pt1 Pt 0.0000 0.3025 0.5000
Pt2 Pt 0.0000 0.5000 0.1923
```

Results
Its electronic total energy is -7.73 eV/atom. The energy relative to the elements, uncorrected comes out at -0.6116 eV per atom.

=====

No. 3
# PuSi2Pt

A geometry-optimized PuSi2Pt structure (PBE, Alexandria).

CIF file:
```
data_PuSi2Pt
_space_group_name_H-M_alt 'A m m 2'
_space_group_IT_number 38
_space_group_name_Hall 'A 2 -2'
_cell_length_a 2.9236
_cell_length_b 6.1222
_cell_length_c 7.8127
_cell_angle_alpha 90.00
_cell_angle_beta 90.00
_cell_angle_gamma 90.00
loop_
_atom_site_label
_atom_site_type_symbol
_atom_site_fract_x
_atom_site_fract_y
_atom_site_fract_z
Pu1 Pu 0.0000 0.0000 0.0000
Si1 Si 0.5000 0.1950 0.2916
Pt1 Pt 0.5000 0.0000 0.5854
```

Results
Its electronic total energy is -8.27 eV/atom. The energy relative to the elements, uncorrected comes out at -0.4622 eV per atom.